Below is a geometry-optimized HgCl structure, with properties calculated at the PBE level.

Cell and atoms, written as extended XYZ:
```
4
Lattice="7.421 -0.123 0.000 -6.260 3.988 0.000 0.000 0.000 4.075" Properties=species:S:1:pos:R:3 pbc="T T T"
Hg 5.661 0.406 3.056
Hg -4.500 3.459 1.019
Cl 2.341 1.404 3.056
Cl -1.180 2.462 1.019
```

Output
- energy above the most stable polymorph in this dataset (eV/atom) = 0.318
- energy relative to the elements, uncorrected (eV per atom) = -0.2237
- V (Å³ per cell) = 117